(1)
DFT (PBE-GGA) results for a relaxed SrTc2Se crystal.

Properties
* formation energy from raw total energies: 2.5 eV per formula unit
* space group: P4/mmm, No. 123
* total DFT energy (no corrections): -5.844 eV per atom
* total magnetization: 0.00 μB per formula unit

Geometry as CIF:
```
data_SrTc2Se
_symmetry_space_group_name_H-M 'P 1'
_symmetry_Int_Tables_number 1
_symmetry_space_group_name_Hall 'P 1'
_cell_length_a 3.157
_cell_length_b 3.157
_cell_length_c 7.830
_cell_angle_alpha 90.00
_cell_angle_beta 90.00
_cell_angle_gamma 90.00
loop_
_atom_site_label
_atom_site_type_symbol
_atom_site_fract_x
_atom_site_fract_y
_atom_site_fract_z
_atom_site_occupancy
Se1 Se 0.500 0.500 0.250 1
Tc1 Tc 0.000 0.000 0.074 1
Tc2 Tc 0.000 0.000 0.426 1
Sr1 Sr 0.500 0.500 0.750 1
```

=====

(2)
DFT (PBE-GGA) results for a relaxed SrTc2Se crystal.

Properties
* formation energy from raw total energies: 2.2 eV per formula unit
* space group: Pmmm, No. 47
* total DFT energy (no corrections): -5.936 eV per atom
* total magnetization: 0.00 μB per formula unit

Geometry as CIF:
```
data_SrTc2Se
_symmetry_space_group_name_H-M 'P 1'
_symmetry_Int_Tables_number 1
_symmetry_space_group_name_Hall 'P 1'
_cell_length_a 3.632
_cell_length_b 4.204
_cell_length_c 5.167
_cell_angle_alpha 90.00
_cell_angle_beta 90.00
_cell_angle_gamma 90.00
loop_
_atom_site_label
_atom_site_type_symbol
_atom_site_fract_x
_atom_site_fract_y
_atom_site_fract_z
_atom_site_occupancy
Tc1 Tc 0.000 0.000 0.000 1
Tc2 Tc 0.500 0.500 0.000 1
Sr1 Sr 0.000 0.500 0.500 1
Se1 Se 0.500 0.000 0.500 1
```

=====

(3)
DFT (PBE-GGA) results for a relaxed SrTcSe2 crystal.

Properties
* formation energy from raw total energies: -1.8 eV per formula unit
* space group: Amm2, No. 38
* total DFT energy (no corrections): -5.207 eV per atom
* total magnetization: 3.74 μB per formula unit

Geometry as CIF:
```
data_SrTcSe2
_symmetry_space_group_name_H-M 'P 1'
_symmetry_Int_Tables_number 1
_symmetry_space_group_name_Hall 'P 1'
_cell_length_a 7.239
_cell_length_b 7.239
_cell_length_c 3.880
_cell_angle_alpha 90.00
_cell_angle_beta 90.00
_cell_angle_gamma 30.33
loop_
_atom_site_label
_atom_site_type_symbol
_atom_site_fract_x
_atom_site_fract_y
_atom_site_fract_z
_atom_site_occupancy
Se1 Se 0.233 0.233 0.375 1
Tc1 Tc 0.770 0.770 0.875 1
Sr1 Sr 0.544 0.544 0.375 1
Se2 Se 0.952 0.952 0.875 1
```

=====

(4)
DFT (PBE-GGA) results for a relaxed SrTc2Se crystal.

Properties
* formation energy from raw total energies: 1.8 eV per formula unit
* space group: Immm, No. 71
* total DFT energy (no corrections): -6.033 eV per atom
* total magnetization: 0.00 μB per formula unit

Geometry as CIF:
```
data_SrTc2Se
_symmetry_space_group_name_H-M 'P 1'
_symmetry_Int_Tables_number 1
_symmetry_space_group_name_Hall 'P 1'
_cell_length_a 5.880
_cell_length_b 5.880
_cell_length_c 5.880
_cell_angle_alpha 149.89
_cell_angle_beta 130.89
_cell_angle_gamma 58.69
loop_
_atom_site_label
_atom_site_type_symbol
_atom_site_fract_x
_atom_site_fract_y
_atom_site_fract_z
_atom_site_occupancy
Tc1 Tc 0.540 0.540 0.000 1
Se1 Se 0.750 0.250 0.500 1
Sr1 Sr 0.250 0.750 0.500 1
Tc2 Tc 0.960 0.960 0.000 1
```

=====

(5)
DFT (PBE-GGA) results for a relaxed SrTcSe2 crystal.

Properties
* formation energy from raw total energies: -2.3 eV per formula unit
* space group: Immm, No. 71
* total DFT energy (no corrections): -5.317 eV per atom
* total magnetization: 1.25 μB per formula unit

Geometry as CIF:
```
data_SrTcSe2
_symmetry_space_group_name_H-M 'P 1'
_symmetry_Int_Tables_number 1
_symmetry_space_group_name_Hall 'P 1'
_cell_length_a 5.485
_cell_length_b 5.485
_cell_length_c 5.485
_cell_angle_alpha 139.16
_cell_angle_beta 112.63
_cell_angle_gamma 81.88
loop_
_atom_site_label
_atom_site_type_symbol
_atom_site_fract_x
_atom_site_fract_y
_atom_site_fract_z
_atom_site_occupancy
Se1 Se 0.444 0.444 0.000 1
Se2 Se 0.056 0.056 0.000 1
Tc1 Tc 0.250 0.750 0.500 1
Sr1 Sr 0.750 0.250 0.500 1
```

=====

(6)
DFT (PBE-GGA) results for a relaxed SrTcSe2 crystal.

Properties
* formation energy from raw total energies: -0.4 eV per formula unit
* space group: R3m, No. 160
* total DFT energy (no corrections): -4.852 eV per atom
* total magnetization: 0.17 μB per formula unit

Geometry as CIF:
```
data_SrTcSe2
_symmetry_space_group_name_H-M 'P 1'
_symmetry_Int_Tables_number 1
_symmetry_space_group_name_Hall 'P 1'
_cell_length_a 8.725
_cell_length_b 8.725
_cell_length_c 8.725
_cell_angle_alpha 26.46
_cell_angle_beta 26.46
_cell_angle_gamma 26.46
loop_
_atom_site_label
_atom_site_type_symbol
_atom_site_fract_x
_atom_site_fract_y
_atom_site_fract_z
_atom_site_occupancy
Se1 Se 0.035 0.035 0.035 1
Se2 Se 0.239 0.239 0.239 1
Sr1 Sr 0.500 0.500 0.500 1
Tc1 Tc 0.726 0.726 0.726 1
```